First-principles (PBE) data for an optimized crystal structure of TiPtN3, as listed in Alexandria.

Calculated values
VASP energy (eV per atom): -6.708
V (Å³/cell): 59.14
Energy relative to the elements, uncorrected (meV/atom): 1075
ρ (g/cm3): 8.0

CIF file:
```
data_TiPtN3
_chemical_formula_sum 'Ti1 Pt1 N3'
_cell_length_a 3.896
_cell_length_b 3.896
_cell_length_c 3.896
_cell_angle_alpha 90.00
_cell_angle_beta 90.00
_cell_angle_gamma 90.00
_space_group_name_H-M_alt 'P m -3 m'
_space_group_IT_number 221
_space_group_name_Hall '-P 4 2 3'
loop_
_atom_site_label
_atom_site_type_symbol
_atom_site_fract_x
_atom_site_fract_y
_atom_site_fract_z
_atom_site_occupancy
Ti1 Ti 0.000 0.000 0.000 1
Pt1 Pt 0.500 0.500 0.500 1
N1 N 0.000 0.000 0.500 1
```